A relaxed structure of NaLaTe2I, computed with PBE.

Cell and atoms, written as POSCAR:
```
NaLaTe2I
1.0
5.5638 0.0000 0.0000
0.0000 5.5638 0.0000
0.0000 0.0000 5.5216
Na La Te I
1 1 2 1
Direct
0.0000 0.0000 0.0000 Na
0.5000 0.5000 0.5000 La
0.0000 0.5000 0.0000 Te
0.5000 0.0000 0.0000 Te
0.0000 0.0000 0.5000 I
```

Summary:
symmetry = P4/mmm (123)
total magnetization = 0.0219 μB/atom
polymorph energy (0 for the lowest one) = 360 meV/atom
formation energy (no corrections) = -0.51 eV/atom